Entry from the Alexandria database: LiOsAu2N after structural relaxation (PBE).

Unit cell a=4.992 b=5.152 c=4.992 alpha=90.00 beta=90.00 gamma=90.00
Each line ends with the local moment (μB).
Atoms (fractional coordinates):
Au  0.500  0.000  0.000  0.04
Au  0.000  0.000  0.500  0.05
Li  0.000  0.500  0.000  -0.01
Os  0.000  0.000  0.000  0.12
N  0.500  0.500  0.500  1.81

Computed properties:
Raw total energy = -3.633 eV/atom
DOS at the Fermi energy = 4.30 states/eV/cell
Theoretical density = 7.8 g cm⁻³